## K2ScCo (PBE-GGA)

Data for crystalline K2ScCo at its relaxed geometry.

## Properties
calculated density	2.678	g cm⁻³
VASP energy	-2.959	eV per atom
magnetization	0.186	μB per atom
distance to the lowest polymorph of the same formula	0.5895	eV/atom
E_form	0.95	eV per atom
V	28.2	Å³/atom
symmetry	No. 139

Cell: 6.891 6.891 6.891 Å, 143.91 143.91 51.96°
Atoms (fractional coordinates):
K (0.250, 0.750, 0.500)
K (0.750, 0.250, 0.500)
Sc (0.000, 0.000, 0.000)
Co (0.500, 0.500, 0.000)